Record 1
The following is a DFT calculation (PBE-GGA) of Mn2AlSb after structural relaxation.

Computed properties:
Crystal system ... trigonal
Offset from the most stable computed form ... 190 meV per atom
Raw formation energy ... 253 meV/atom
Calculated total energy ... -6.30 eV/atom

Unit cell a=8.5502 b=8.5502 c=8.5502 alpha=20.42 beta=20.42 gamma=20.42
Closest atoms and distances in Å follow each position.
Fractional coordinates of all 4 atoms:
Mn: 0.2466 0.2466 0.2466  3 Al 2.66, 3 Sb 2.79
Mn: 0.7534 0.7534 0.7534  3 Al 2.66, 3 Sb 2.79
Al: 0.5000 0.5000 0.5000  6 Mn 2.66
Sb: 0.0000 0.0000 0.0000  6 Mn 2.79, 6 Sb 3.03

***

Record 2
The following is a DFT calculation (PBE-GGA) of YErCo after structural relaxation.

Computed properties:
Crystal system ... cubic
Offset from the most stable computed form ... 96 meV per atom
Calculated total energy ... -6.10 eV/atom

Unit cell a=4.6756 b=4.6756 c=4.6756 alpha=60.00 beta=60.00 gamma=60.00
Closest atoms and distances in Å follow each position.
Fractional coordinates of all 3 atoms:
Y: 0.0000 0.0000 0.0000  4 Co 2.86
Er: 0.5000 0.5000 0.5000  4 Co 2.86
Co: 0.2500 0.2500 0.2500  4 Er 2.86, 4 Y 2.86

***

Record 3
The following is a DFT calculation (PBE-GGA) of Zn2As2O7 after structural relaxation.

Computed properties:
Crystal system ... orthorhombic
Offset from the most stable computed form ... 0 meV per atom
Raw formation energy ... -1301 meV/atom
Calculated total energy ... -5.53 eV/atom

Unit cell a=5.2517 b=14.1396 c=16.9809 alpha=90.00 beta=90.00 gamma=90.00
Closest atoms and distances in Å follow each position.
Fractional coordinates of all 88 atoms:
Zn: 0.0782 0.0477 0.0856  3 O 1.94-2.04
Zn: 0.0782 0.0477 0.4144  3 O 1.94-2.04
Zn: 0.0782 0.4523 0.5856  3 O 1.94-2.04
Zn: 0.0782 0.4523 0.9144  3 O 1.94-2.04
Zn: 0.2997 0.2496 0.1559  5 O 1.98-2.11
Zn: 0.2997 0.2496 0.3441  5 O 1.98-2.11
Zn: 0.2997 0.2504 0.6559  5 O 1.98-2.11
Zn: 0.2997 0.2504 0.8441  5 O 1.98-2.11
Zn: 0.7003 0.7496 0.1559  5 O 1.98-2.11
Zn: 0.7003 0.7496 0.3441  5 O 1.98-2.11
Zn: 0.7003 0.7504 0.6559  5 O 1.98-2.11
Zn: 0.7003 0.7504 0.8441  5 O 1.98-2.11
Zn: 0.9218 0.5477 0.0856  3 O 1.94-2.04
Zn: 0.9218 0.5477 0.4144  3 O 1.94-2.04
Zn: 0.9218 0.9523 0.5856  3 O 1.94-2.04
Zn: 0.9218 0.9523 0.9144  3 O 1.94-2.04
As: 0.0284 0.0625 0.7500  4 O 1.69-1.82
As: 0.0284 0.4375 0.2500  4 O 1.69-1.82
As: 0.1938 0.6447 0.2500  4 O 1.71-1.78
As: 0.1938 0.8553 0.7500  4 O 1.71-1.78
As: 0.4299 0.6415 0.5066  4 O 1.68-1.80
As: 0.4299 0.6415 0.9934  4 O 1.68-1.80
As: 0.4299 0.8585 0.0066  4 O 1.68-1.80
As: 0.4299 0.8585 0.4934  4 O 1.68-1.80
As: 0.5701 0.1415 0.5066  4 O 1.68-1.80
As: 0.5701 0.1415 0.9934  4 O 1.68-1.80
As: 0.5701 0.3585 0.0066  4 O 1.68-1.80
As: 0.5701 0.3585 0.4934  4 O 1.68-1.80
As: 0.8062 0.1447 0.2500  4 O 1.71-1.78
As: 0.8062 0.3553 0.7500  4 O 1.71-1.78
As: 0.9716 0.5625 0.7500  4 O 1.69-1.82
As: 0.9716 0.9375 0.2500  4 O 1.69-1.82
O: 0.0259 0.6633 0.1646  1 As 1.72
O: 0.0259 0.6633 0.3354  1 As 1.72
O: 0.0259 0.8367 0.6646  1 As 1.72
O: 0.0259 0.8367 0.8354  1 As 1.72
O: 0.1362 0.5484 0.6655  1 As 1.69
O: 0.1362 0.5484 0.8345  1 As 1.69
O: 0.1362 0.9516 0.1655  1 As 1.69
O: 0.1362 0.9516 0.3345  1 As 1.69
O: 0.1695 0.1716 0.7500  1 As 1.71
O: 0.1695 0.3284 0.2500  1 As 1.71
O: 0.2046 0.5546 0.0038  1 As 1.71
O: 0.2046 0.5546 0.4962  1 As 1.71
O: 0.2046 0.9454 0.5038  1 As 1.71
O: 0.2046 0.9454 0.9962  1 As 1.71
O: 0.2512 0.7500 0.0000  2 As 1.80
O: 0.2512 0.7500 0.5000  2 As 1.80
O: 0.2866 0.5237 0.2500  2 As 1.78-1.82
O: 0.2866 0.9763 0.7500  2 As 1.78-1.82
O: 0.3743 0.1404 0.0752  1 As 1.73
O: 0.3743 0.1404 0.4248  1 As 1.73
O: 0.3743 0.3596 0.5752  1 As 1.73
O: 0.3743 0.3596 0.9248  1 As 1.73
O: 0.4005 0.1404 0.5908  1 As 1.68
O: 0.4005 0.1404 0.9092  1 As 1.68
O: 0.4005 0.3596 0.0908  1 As 1.68
O: 0.4005 0.3596 0.4092  1 As 1.68
O: 0.4749 0.7051 0.2500  1 As 1.71
O: 0.4749 0.7949 0.7500  1 As 1.71
O: 0.5251 0.2051 0.2500  1 As 1.71
O: 0.5251 0.2949 0.7500  1 As 1.71
O: 0.5995 0.6404 0.5908  1 As 1.68
O: 0.5995 0.6404 0.9092  1 As 1.68
O: 0.5995 0.8596 0.0908  1 As 1.68
O: 0.5995 0.8596 0.4092  1 As 1.68
O: 0.6257 0.6404 0.0752  1 As 1.73
O: 0.6257 0.6404 0.4248  1 As 1.73
O: 0.6257 0.8596 0.5752  1 As 1.73
O: 0.6257 0.8596 0.9248  1 As 1.73
O: 0.7134 0.0237 0.2500  2 As 1.78-1.82
O: 0.7134 0.4763 0.7500  2 As 1.78-1.82
O: 0.7488 0.2500 0.0000  2 As 1.80
O: 0.7488 0.2500 0.5000  2 As 1.80
O: 0.7954 0.0546 0.0038  1 As 1.71
O: 0.7954 0.0546 0.4962  1 As 1.71
O: 0.7954 0.4454 0.5038  1 As 1.71
O: 0.7954 0.4454 0.9962  1 As 1.71
O: 0.8305 0.6716 0.7500  1 As 1.71
O: 0.8305 0.8284 0.2500  1 As 1.71
O: 0.8638 0.0484 0.6655  1 As 1.69
O: 0.8638 0.0484 0.8345  1 As 1.69
O: 0.8638 0.4516 0.1655  1 As 1.69
O: 0.8638 0.4516 0.3345  1 As 1.69
O: 0.9741 0.1633 0.1646  1 As 1.72
O: 0.9741 0.1633 0.3354  1 As 1.72
O: 0.9741 0.3367 0.6646  1 As 1.72
O: 0.9741 0.3367 0.8354  1 As 1.72

***

Record 4
The following is a DFT calculation (PBE-GGA) of FePt2 after structural relaxation.

Computed properties:
Crystal system ... tetragonal
Calculated total energy ... -7.00 eV/atom

Unit cell a=12.1513 b=12.1513 c=12.1513 alpha=167.02 beta=167.02 gamma=18.39
Closest atoms and distances in Å follow each position.
Fractional coordinates of all 6 atoms:
Fe: 0.3750 0.6250 0.7500  8 Pt 2.65, 4 Fe 2.75
Fe: 0.6250 0.3750 0.2500  8 Pt 2.65, 4 Fe 2.75
Pt: 0.0499 0.7999 0.2500  4 Fe 2.65, 6 Pt 2.75-2.76
Pt: 0.2001 0.9501 0.2500  4 Fe 2.65, 6 Pt 2.75-2.76
Pt: 0.7999 0.0499 0.7500  4 Fe 2.65, 6 Pt 2.75-2.76
Pt: 0.9501 0.2001 0.7500  4 Fe 2.65, 6 Pt 2.75-2.76

***

Record 5
The following is a DFT calculation (PBE-GGA) of AcLa2InN4 after structural relaxation.

Computed properties:
Crystal system ... orthorhombic
Raw formation energy ... -880 meV/atom
Calculated total energy ... -7.13 eV/atom

Unit cell a=6.5136 b=6.5136 c=12.7455 alpha=90.00 beta=90.00 gamma=147.07
Closest atoms and distances in Å follow each position.
Fractional coordinates of all 16 atoms:
Ac: 0.1099 0.8901 0.7500  6 N 2.71-2.89
Ac: 0.8901 0.1099 0.2500  6 N 2.71-2.89
La: 0.3709 0.6291 0.5382  3 N 2.41-2.50
La: 0.3709 0.6291 0.9618  3 N 2.41-2.50
La: 0.6291 0.3709 0.0382  3 N 2.41-2.50
La: 0.6291 0.3709 0.4618  3 N 2.41-2.50
In: 0.1552 0.8448 0.2500  4 N 2.16-2.28
In: 0.8448 0.1552 0.7500  4 N 2.16-2.28
N: 0.0000 0.0000 0.0000  4 La 2.50
N: 0.0000 0.0000 0.5000  4 La 2.50
N: 0.2692 0.7308 0.1224  1 In 2.16, 1 La 2.41
N: 0.2692 0.7308 0.3776  1 In 2.16, 1 La 2.41
N: 0.4515 0.5485 0.7500  2 In 2.28
N: 0.5485 0.4515 0.2500  2 In 2.28
N: 0.7308 0.2692 0.6224  1 In 2.16, 1 La 2.41
N: 0.7308 0.2692 0.8776  1 In 2.16, 1 La 2.41

***

Record 6
The following is a DFT calculation (PBE-GGA) of NaHg4 after structural relaxation.

Computed properties:
Crystal system ... monoclinic
Offset from the most stable computed form ... 61 meV per atom
Calculated total energy ... -0.61 eV/atom

Unit cell a=6.1442 b=3.4326 c=6.6413 alpha=90.00 beta=91.84 gamma=90.00
Closest atoms and distances in Å follow each position.
Fractional coordinates of all 5 atoms:
Na: 0.0000 0.0000 0.0000  6 Hg 3.12-3.17, 2 Na 3.43
Hg: 0.2308 0.0000 0.5876  5 Hg 3.03-3.26, 1 Na 3.12
Hg: 0.3823 0.5000 0.1995  5 Hg 3.06-3.26, 2 Na 3.17
Hg: 0.6177 0.5000 0.8005  5 Hg 3.06-3.26, 2 Na 3.17
Hg: 0.7692 0.0000 0.4124  5 Hg 3.03-3.26, 1 Na 3.12

***

Record 7
The following is a DFT calculation (PBE-GGA) of Pr2Y2In3 after structural relaxation.

Computed properties:
Crystal system ... monoclinic
Offset from the most stable computed form ... 0 meV per atom
Calculated total energy ... -4.74 eV/atom

Unit cell a=8.4573 b=8.4573 c=5.3369 alpha=108.38 beta=108.38 gamma=37.34
Closest atoms and distances in Å follow each position.
Fractional coordinates of all 7 atoms:
Pr: 0.1244 0.1244 0.1250  6 In 3.26-3.32
Pr: 0.8756 0.8756 0.8750  6 In 3.26-3.32
Y: 0.3806 0.3806 0.3806  6 In 3.22-3.34
Y: 0.6194 0.6194 0.6194  6 In 3.22-3.34
In: 0.2487 0.2487 0.7491  4 Pr 3.26-3.32, 4 Y 3.33-3.34
In: 0.5000 0.5000 0.0000  4 Y 3.22, 4 Pr 3.30
In: 0.7513 0.7513 0.2509  4 Pr 3.26-3.32, 4 Y 3.33-3.34

***

Record 8
The following is a DFT calculation (PBE-GGA) of TbY2Pd after structural relaxation.

Computed properties:
Crystal system ... trigonal
Offset from the most stable computed form ... 179 meV per atom
Calculated total energy ... -5.98 eV/atom

Unit cell a=9.7681 b=9.7681 c=9.7681 alpha=22.16 beta=22.16 gamma=22.16
Closest atoms and distances in Å follow each position.
Fractional coordinates of all 4 atoms:
Tb: 0.0000 0.0000 0.0000  6 Y 3.59-3.65, 6 Tb 3.76
Y: 0.5640 0.5640 0.5640  3 Pd 2.86
Y: 0.7668 0.7668 0.7668  3 Pd 2.86
Pd: 0.1652 0.1652 0.1652  6 Y 2.86

***

Record 9
The following is a DFT calculation (PBE-GGA) of Na2PuMgBr6 after structural relaxation.

Computed properties:
Crystal system ... tetragonal
Raw formation energy ... -1355 meV/atom
Calculated total energy ... -4.22 eV/atom

Unit cell a=7.8351 b=7.8351 c=6.0345 alpha=90.00 beta=90.00 gamma=90.00
Closest atoms and distances in Å follow each position.
Fractional coordinates of all 10 atoms:
Na: 0.0000 0.5000 0.0000  4 Br 3.03
Na: 0.5000 0.0000 0.0000  4 Br 3.03
Pu: 0.0000 0.0000 0.7043  6 Br 2.89-3.15
Mg: 0.5000 0.5000 0.6885  5 Br 2.47-2.70
Br: 0.0000 0.0000 0.2257  2 Pu 2.89-3.15
Br: 0.2642 0.2642 0.7995  1 Mg 2.70, 1 Pu 2.98
Br: 0.2642 0.7358 0.7995  1 Mg 2.70, 1 Pu 2.98
Br: 0.5000 0.5000 0.2793  1 Mg 2.47
Br: 0.7358 0.2642 0.7995  1 Mg 2.70, 1 Pu 2.98
Br: 0.7358 0.7358 0.7995  1 Mg 2.70, 1 Pu 2.98

***

Record 10
The following is a DFT calculation (PBE-GGA) of Ho8Al2Tl after structural relaxation.

Computed properties:
Crystal system ... monoclinic
Offset from the most stable computed form ... 0 meV per atom
Calculated total energy ... -4.43 eV/atom

Unit cell a=8.4274 b=8.4274 c=8.3651 alpha=118.22 beta=118.22 gamma=35.93
Closest atoms and distances in Å follow each position.
Fractional coordinates of all 11 atoms:
Ho: 0.0655 0.0655 0.2185  1 Al 3.04, 3 Ho 3.18-3.24
Ho: 0.1449 0.1449 0.6987  3 Al 3.09-3.21, 2 Tl 3.33
Ho: 0.3168 0.3168 0.5450  1 Al 3.10, 1 Tl 3.14, 4 Ho 3.21-3.24
Ho: 0.3999 0.3999 0.0399  3 Al 3.14-3.20, 1 Tl 3.35, 2 Ho 3.48
Ho: 0.6001 0.6001 0.9601  3 Al 3.14-3.20, 1 Tl 3.35, 2 Ho 3.48
Ho: 0.6832 0.6832 0.4550  1 Al 3.10, 1 Tl 3.14, 4 Ho 3.21-3.24
Ho: 0.8551 0.8551 0.3013  3 Al 3.09-3.21, 2 Tl 3.33
Ho: 0.9345 0.9345 0.7815  1 Al 3.04, 3 Ho 3.18-3.24
Al: 0.2242 0.2242 0.1198  8 Ho 3.04-3.21
Al: 0.7758 0.7758 0.8802  8 Ho 3.04-3.21
Tl: 0.5000 0.5000 0.5000  8 Ho 3.14-3.35

***

calculated total energy of number 1 (Mn2AlSb)?
-6.30 eV/atom